First-principles (GGA-PBEsol) data for Cs2V3O8 after structural relaxation, as listed in Alexandria via LeMat-Bulk.

Unit cell a=8.8789 b=8.8789 c=6.0070 alpha=90.00 beta=90.00 gamma=90.00
Sites, in units of the cell vectors:
Cs1 0.1694 0.3306 0.0000
Cs2 0.3306 0.8306 0.0000
Cs3 0.6694 0.1694 0.0000
Cs4 0.8306 0.6694 0.0000
V1 0.0000 0.0000 0.5363
V2 0.1341 0.6341 0.5243
V3 0.3659 0.1341 0.5243
V4 0.5000 0.5000 0.5363
V5 0.6341 0.8659 0.5243
V6 0.8659 0.3659 0.5243
O1 0.0000 0.0000 0.2687
O2 0.0000 0.5000 0.6308
O3 0.0825 0.8085 0.6270
O4 0.1312 0.6312 0.2513
O5 0.1915 0.0825 0.6270
O6 0.3085 0.5825 0.6270
O7 0.3688 0.1312 0.2513
O8 0.4175 0.3085 0.6270
O9 0.5000 0.0000 0.6308
O10 0.5000 0.5000 0.2687
O11 0.5825 0.6915 0.6270
O12 0.6312 0.8688 0.2513
O13 0.6915 0.4175 0.6270
O14 0.8085 0.9175 0.6270
O15 0.8688 0.3688 0.2513
O16 0.9175 0.1915 0.6270

Properties
**E_form (uncorrected)**: -2.3766 eV/atom
**Energy**: -207.4 eV/cell



First-principles (GGA-PBEsol) data for Ba2HgAu after structural relaxation, as listed in Alexandria via LeMat-Bulk.

Unit cell a=8.4365 b=8.4365 c=8.4365 alpha=150.99 beta=149.34 gamma=42.72
Sites, in units of the cell vectors:
Ba1 0.0000 0.0000 0.0000
Ba2 0.7353 0.2353 0.5000
Hg1 0.3325 0.8325 0.5000
Au1 0.5749 0.5749 0.0000

Properties
**Energy**: -10.6 eV/cell
**Formation enthalpy at 0 K**: -460 meV/atom



First-principles (GGA-PBEsol) data for ZrCrPtC2 after structural relaxation, as listed in Alexandria via LeMat-Bulk.

Unit cell a=3.8895 b=3.8895 c=5.4485 alpha=90.00 beta=90.00 gamma=90.00
Sites, in units of the cell vectors:
Zr1 0.0000 0.0000 0.0000
Cr1 0.5000 0.5000 0.0000
Pt1 0.0000 0.0000 0.5000
C1 0.0000 0.5000 0.5000
C2 0.5000 0.0000 0.5000

Properties
**Energy**: -36.3 eV/cell
**Formation enthalpy at 0 K**: 1865 meV/atom



First-principles (GGA-PBEsol) data for Zr3TeP after structural relaxation, as listed in Alexandria via LeMat-Bulk.

Unit cell a=4.8440 b=4.8440 c=4.8440 alpha=90.00 beta=90.00 gamma=90.00
Sites, in units of the cell vectors:
Zr1 0.0000 0.0000 0.5000
Zr2 0.0000 0.5000 0.0000
Zr3 0.5000 0.0000 0.0000
Te1 0.5000 0.5000 0.5000
P1 0.0000 0.0000 0.0000

Properties
**E_form (uncorrected)**: -0.3565 eV/atom
**Energy**: -38.4 eV/cell



First-principles (GGA-PBEsol) data for LaPrAl6 after structural relaxation, as listed in Alexandria via LeMat-Bulk.

Unit cell a=6.5227 b=6.5227 c=4.6173 alpha=90.00 beta=90.00 gamma=120.00
Sites, in units of the cell vectors:
La1 0.0000 0.0000 0.0000
Pr1 0.6667 0.3333 0.5000
Al1 0.0515 0.5258 0.0000
Al2 0.1931 0.3863 0.5000
Al3 0.1931 0.8069 0.5000
Al4 0.4742 0.5258 0.0000
Al5 0.4742 0.9485 0.0000
Al6 0.6137 0.8069 0.5000

Properties
**Energy**: -38.6 eV/cell
**Formation enthalpy at 0 K**: -441 meV/atom



First-principles (GGA-PBEsol) data for LiCrIN2 after structural relaxation, as listed in Alexandria via LeMat-Bulk.

Unit cell a=3.9631 b=3.9631 c=4.9727 alpha=90.00 beta=90.00 gamma=90.00
Sites, in units of the cell vectors:
Li1 0.0000 0.0000 0.0000
Cr1 0.5000 0.5000 0.5000
I1 0.0000 0.0000 0.5000
N1 0.0000 0.5000 0.0000
N2 0.5000 0.0000 0.0000

Properties
**E_form (uncorrected)**: 1.5968 eV/atom
**Energy**: -23.0 eV/cell



First-principles (GGA-PBEsol) data for LaBe2Si2 after structural relaxation, as listed in Alexandria via LeMat-Bulk.

Unit cell a=5.6411 b=5.6411 c=5.6411 alpha=138.45 beta=138.45 gamma=60.21
Sites, in units of the cell vectors:
La1 0.0000 0.0000 0.0000
Be1 0.2500 0.7500 0.5000
Be2 0.7500 0.2500 0.5000
Si1 0.3722 0.3722 0.0000
Si2 0.6278 0.6278 0.0000

Properties
**E_form (uncorrected)**: -0.4070 eV/atom
**Energy**: -26.9 eV/cell



First-principles (GGA-PBEsol) data for MgTa2Si after structural relaxation, as listed in Alexandria via LeMat-Bulk.

Unit cell a=3.8360 b=4.0809 c=4.1884 alpha=90.00 beta=90.00 gamma=90.00
Sites, in units of the cell vectors:
Mg1 0.0000 0.0000 0.0000
Ta1 0.0000 0.5000 0.5000
Ta2 0.5000 0.0000 0.5000
Si1 0.5000 0.5000 0.0000

Properties
**E_form (uncorrected)**: 0.0041 eV/atom
**Energy**: -32.5 eV/cell



First-principles (GGA-PBEsol) data for Zr2PbSe after structural relaxation, as listed in Alexandria via LeMat-Bulk.

Unit cell a=3.6290 b=3.6290 c=6.9559 alpha=90.00 beta=90.00 gamma=90.00
Sites, in units of the cell vectors:
Zr1 0.0000 0.0000 0.0000
Zr2 0.5000 0.5000 0.2641
Pb1 0.0000 0.0000 0.4960
Se1 0.5000 0.5000 0.8656

Properties
**E_form (uncorrected)**: -0.6748 eV/atom
**Energy above the most stable polymorph in this dataset**: 44 meV per atom
**Energy**: -28.7 eV/cell



First-principles (GGA-PBEsol) data for BaFeIr2 after structural relaxation, as listed in Alexandria via LeMat-Bulk.

Unit cell a=4.2045 b=6.5211 c=6.5211 alpha=26.16 beta=90.00 gamma=90.00
Sites, in units of the cell vectors:
Ba1 0.0000 0.0000 0.0000
Fe1 0.5000 0.6601 0.6601
Ir1 0.0000 0.7558 0.7558
Ir2 0.5000 0.3171 0.3171

Properties
**Energy**: -28.7 eV/cell
**Formation enthalpy at 0 K**: 505 meV/atom



First-principles (GGA-PBEsol) data for Cd2CuCl after structural relaxation, as listed in Alexandria via LeMat-Bulk.

Unit cell a=5.4762 b=5.4762 c=5.4762 alpha=146.17 beta=117.21 gamma=73.27
Sites, in units of the cell vectors:
Cd1 0.2368 0.2368 0.0000
Cd2 0.7632 0.7632 0.0000
Cu1 0.0000 0.5000 0.5000
Cl1 0.5000 0.0000 0.5000

Properties
**E_form (uncorrected)**: 0.0227 eV/atom
**Energy above the most stable polymorph in this dataset**: 0 meV per atom
**Energy**: -8.6 eV/cell



First-principles (GGA-PBEsol) data for In2FeNiI after structural relaxation, as listed in Alexandria via LeMat-Bulk.

Unit cell a=5.1707 b=5.1707 c=4.3817 alpha=90.00 beta=90.00 gamma=90.00
Sites, in units of the cell vectors:
In1 0.0000 0.5000 0.0000
In2 0.5000 0.0000 0.0000
Fe1 0.0000 0.0000 0.0000
Ni1 0.0000 0.0000 0.5000
I1 0.5000 0.5000 0.5000

Properties
**E_form (uncorrected)**: 0.5557 eV/atom
**Energy**: -20.1 eV/cell



First-principles (GGA-PBEsol) data for TlWCl after structural relaxation, as listed in Alexandria via LeMat-Bulk.

Unit cell a=4.5175 b=4.5175 c=4.5175 alpha=60.00 beta=60.00 gamma=60.00
Sites, in units of the cell vectors:
Tl1 0.0000 0.0000 0.0000
W1 0.7500 0.7500 0.7500
Cl1 0.5000 0.5000 0.5000

Properties
**E_form (uncorrected)**: 1.4198 eV/atom
**Energy above the most stable polymorph in this dataset**: 848 meV per atom
**Energy**: -14.2 eV/cell



First-principles (GGA-PBEsol) data for MgTlGe2 after structural relaxation, as listed in Alexandria via LeMat-Bulk.

Unit cell a=4.9586 b=4.9586 c=4.9586 alpha=60.00 beta=60.00 gamma=60.00
Sites, in units of the cell vectors:
Mg1 0.0000 0.0000 0.0000
Tl1 0.5000 0.5000 0.5000
Ge1 0.2500 0.2500 0.2500
Ge2 0.7500 0.7500 0.7500

Properties
**Energy**: -13.5 eV/cell
**Formation enthalpy at 0 K**: 188 meV/atom



First-principles (GGA-PBEsol) data for MgMn2S4 after structural relaxation, as listed in Alexandria via LeMat-Bulk.

Unit cell a=7.0010 b=7.0010 c=7.0010 alpha=121.12 beta=117.63 gamma=91.11
Sites, in units of the cell vectors:
Mg1 0.0000 0.0000 0.0000
Mg2 0.5000 0.0000 0.5000
Mn1 0.0000 0.5000 0.5000
Mn2 0.5000 0.0000 0.0000
Mn3 0.5000 0.5000 0.0000
Mn4 0.5000 0.5000 0.5000
S1 0.2609 0.2672 0.5063
S2 0.2609 0.7546 0.9937
S3 0.2743 0.7437 0.5306
S4 0.2869 0.2563 0.0306
S5 0.7131 0.7437 0.9694
S6 0.7257 0.2563 0.4694
S7 0.7391 0.2454 0.0063
S8 0.7391 0.7328 0.4937

Properties
**E_form (uncorrected)**: -0.7372 eV/atom
**Energy**: -87.9 eV/cell



First-principles (GGA-PBEsol) data for Th2BiTe after structural relaxation, as listed in Alexandria via LeMat-Bulk.

Unit cell a=5.4368 b=5.4368 c=5.4368 alpha=60.00 beta=60.00 gamma=60.00
Sites, in units of the cell vectors:
Th1 0.2500 0.2500 0.2500
Th2 0.7500 0.7500 0.7500
Bi1 0.0000 0.0000 0.0000
Te1 0.5000 0.5000 0.5000

Properties
**E_form (uncorrected)**: -0.9008 eV/atom
**Energy**: -27.6 eV/cell



First-principles (GGA-PBEsol) data for MnCr2Ru after structural relaxation, as listed in Alexandria via LeMat-Bulk.

Unit cell a=2.9499 b=4.0353 c=4.0533 alpha=90.00 beta=90.00 gamma=90.00
Sites, in units of the cell vectors:
Mn1 0.0000 0.0000 0.0000
Cr1 0.0000 0.5000 0.5000
Cr2 0.5000 0.5000 0.0000
Ru1 0.5000 0.0000 0.5000

Properties
**Energy above the most stable polymorph in this dataset**: 0 meV per atom
**Energy**: -39.8 eV/cell
**Formation enthalpy at 0 K**: 145 meV/atom



First-principles (GGA-PBEsol) data for Ca2WBr after structural relaxation, as listed in Alexandria via LeMat-Bulk.

Unit cell a=9.4376 b=9.4376 c=9.4376 alpha=20.67 beta=20.67 gamma=20.67
Sites, in units of the cell vectors:
Ca1 0.2492 0.2492 0.2492
Ca2 0.7508 0.7508 0.7508
W1 0.0000 0.0000 0.0000
Br1 0.5000 0.5000 0.5000

Properties
**E_form (uncorrected)**: 0.1070 eV/atom
**Energy above the most stable polymorph in this dataset**: 0 meV per atom
**Energy**: -19.5 eV/cell



First-principles (GGA-PBEsol) data for KOsPt2 after structural relaxation, as listed in Alexandria via LeMat-Bulk.

Unit cell a=10.2849 b=10.2849 c=10.2849 alpha=15.43 beta=15.43 gamma=15.43
Sites, in units of the cell vectors:
K1 0.0000 0.0000 0.0000
Os1 0.7629 0.7629 0.7629
Pt1 0.2434 0.2434 0.2434
Pt2 0.5000 0.5000 0.5000

Properties
**Energy above the most stable polymorph in this dataset**: 0 meV per atom
**Energy**: -25.2 eV/cell
**Formation enthalpy at 0 K**: 520 meV/atom



First-principles (GGA-PBEsol) data for Ca2CdPBr after structural relaxation, as listed in Alexandria via LeMat-Bulk.

Unit cell a=5.4305 b=5.4305 c=5.0369 alpha=90.00 beta=90.00 gamma=90.00
Sites, in units of the cell vectors:
Ca1 0.0000 0.5000 0.0000
Ca2 0.5000 0.0000 0.0000
Cd1 0.0000 0.0000 0.5000
P1 0.5000 0.5000 0.5000
Br1 0.5000 0.5000 0.0000

Properties
**E_form (uncorrected)**: -0.1031 eV/atom
**Energy**: -13.6 eV/cell



First-principles (GGA-PBEsol) data for RbNa2Sr after structural relaxation, as listed in Alexandria via LeMat-Bulk.

Unit cell a=6.5759 b=6.5759 c=6.5759 alpha=60.00 beta=60.00 gamma=60.00
Sites, in units of the cell vectors:
Rb1 0.0000 0.0000 0.0000
Na1 0.2500 0.2500 0.2500
Na2 0.7500 0.7500 0.7500
Sr1 0.5000 0.5000 0.5000

Properties
**Energy**: -5.3 eV/cell
**Formation enthalpy at 0 K**: 85 meV/atom



First-principles (GGA-PBEsol) data for MoIr2 after structural relaxation, as listed in Alexandria via LeMat-Bulk.

Unit cell a=6.0947 b=6.0947 c=3.8567 alpha=90.00 beta=90.00 gamma=143.03
Sites, in units of the cell vectors:
Mo1 0.0870 0.9130 0.7500
Mo2 0.9130 0.0870 0.2500
Ir1 0.2506 0.7494 0.2500
Ir2 0.4192 0.5808 0.7500
Ir3 0.5808 0.4192 0.2500
Ir4 0.7494 0.2506 0.7500

Properties
**Energy**: -64.4 eV/cell
**Formation enthalpy at 0 K**: -268 meV/atom



First-principles (GGA-PBEsol) data for Fe2SeBr after structural relaxation, as listed in Alexandria via LeMat-Bulk.

Unit cell a=4.2029 b=4.2029 c=6.2127 alpha=97.11 beta=97.11 gamma=45.89
Sites, in units of the cell vectors:
Fe1 0.0000 0.0000 0.0000
Fe2 0.7149 0.7149 0.1103
Se1 0.2711 0.2711 0.8416
Br1 0.5006 0.5006 0.3541

Properties
**E_form (uncorrected)**: 0.0574 eV/atom
**Energy above the most stable polymorph in this dataset**: 0 meV per atom
**Energy**: -23.4 eV/cell



First-principles (GGA-PBEsol) data for Li3Ni5O8 after structural relaxation, as listed in Alexandria via LeMat-Bulk.

Unit cell a=5.7343 b=5.7343 c=5.7343 alpha=59.87 beta=59.87 gamma=59.87
Sites, in units of the cell vectors:
Li1 0.0000 0.5000 0.5000
Li2 0.5000 0.0000 0.5000
Li3 0.5000 0.5000 0.0000
Ni1 0.0000 0.0000 0.0000
Ni2 0.0000 0.0000 0.5000
Ni3 0.0000 0.5000 0.0000
Ni4 0.5000 0.0000 0.0000
Ni5 0.5000 0.5000 0.5000
O1 0.2357 0.2357 0.2357
O2 0.2382 0.7501 0.7501
O3 0.2499 0.2499 0.7618
O4 0.2499 0.7618 0.2499
O5 0.7501 0.2382 0.7501
O6 0.7501 0.7501 0.2382
O7 0.7618 0.2499 0.2499
O8 0.7643 0.7643 0.7643

Properties
**E_form (uncorrected)**: -1.1348 eV/atom
**Energy**: -96.8 eV/cell



First-principles (GGA-PBEsol) data for LiCu2Sb2 after structural relaxation, as listed in Alexandria via LeMat-Bulk.

Unit cell a=5.7273 b=5.7273 c=5.7273 alpha=131.43 beta=131.43 gamma=71.13
Sites, in units of the cell vectors:
Li1 0.0000 0.0000 0.0000
Cu1 0.3721 0.3721 0.0000
Cu2 0.6279 0.6279 0.0000
Sb1 0.2500 0.7500 0.5000
Sb2 0.7500 0.2500 0.5000

Properties
**E_form (uncorrected)**: 0.0869 eV/atom
**Energy**: -19.3 eV/cell



First-principles (GGA-PBEsol) data for Os2C after structural relaxation, as listed in Alexandria via LeMat-Bulk.

Unit cell a=5.9339 b=5.9339 c=4.2550 alpha=90.00 beta=90.00 gamma=153.01
Sites, in units of the cell vectors:
Os1 0.0680 0.9320 0.7500
Os2 0.3504 0.6496 0.7500
Os3 0.6496 0.3504 0.2500
Os4 0.9320 0.0680 0.2500
C1 0.2959 0.7041 0.2500
C2 0.7041 0.2959 0.7500

Properties
**Energy**: -63.8 eV/cell
**Formation enthalpy at 0 K**: 719 meV/atom



First-principles (GGA-PBEsol) data for BaTcNi after structural relaxation, as listed in Alexandria via LeMat-Bulk.

Unit cell a=4.5664 b=4.5664 c=4.5664 alpha=60.00 beta=60.00 gamma=60.00
Sites, in units of the cell vectors:
Ba1 0.0000 0.0000 0.0000
Tc1 0.7500 0.7500 0.7500
Ni1 0.2500 0.2500 0.2500

Properties
**Energy**: -13.8 eV/cell
**Formation enthalpy at 0 K**: 1927 meV/atom